5
Lattice="5.528 0.000 0.000 0.000 5.108 0.000 0.000 0.000 5.528" Properties=species:S:1:pos:R:3 comment="GGA+U Mo2AuBrF, optimized geometry" vol_a3_per_cell=156 total_energy_ev_per_atom=-3.35 spacegroup="No. 123" pbc="T T T"
Mo 0.000 0.000 2.764
Mo 2.764 0.000 0.000
Au 0.000 2.554 0.000
Br 0.000 0.000 0.000
F 2.764 2.554 2.764